[1]
Material: BiMo6S8
Method: DFT, GGA-PBE
State: optimized geometry

Lattice parameters (Å, degrees): 9.2729 9.2729 11.3974 90.00 90.00 120.00
Closest atoms and distances in Å follow each position.
Space group R-3 (No. 148, hexagonal axes)
Symmetry-distinct sites (fractional):
Bi1 0.0000 0.0000 0.0000 [3 per cell]  2 S 2.75
Mo1 0.0167 0.1760 0.4012 [18 per cell]  5 S 2.40-2.59
S1 0.0000 0.0000 0.2411 [6 per cell]  3 Mo 2.40
S2 0.0057 0.3805 0.2521 [18 per cell]  4 Mo 2.44-2.59

Results
Theoretical density = 6.111 g/cm3
Total magnetization = 0.00 μB/f.u.
Formation energy without anion corrections = -909 kJ/mol of formula units

[2]
Material: BiMoS3
Method: DFT, GGA-PBE
State: optimized geometry

Lattice parameters (Å, degrees): 5.1753 5.1753 5.1753 90.00 90.00 90.00
Closest atoms and distances in Å follow each position.
Space group Pm-3m (No. 221)
Symmetry-distinct sites (fractional):
Bi1 0.0000 0.0000 0.0000 [1 per cell]  6 S 2.59
Mo1 0.5000 0.5000 0.5000 [1 per cell]  12 S 3.66
S1 0.0000 0.0000 0.5000 [3 per cell]  2 Bi 2.59

Results
Theoretical density = 4.805 g/cm3
Total magnetization = 3.54 μB/f.u.
Formation energy without anion corrections = 546 kJ/mol of formula units

[3]
Material: Sr2BiMoS
Method: DFT, GGA-PBE
State: optimized geometry

Lattice parameters (Å, degrees): 5.7380 5.7380 4.5715 90.00 90.00 90.00
Closest atoms and distances in Å follow each position.
Space group P4/mmm (No. 123)
Symmetry-distinct sites (fractional):
Sr1 0.0000 0.5000 0.0000 [2 per cell]  2 S 2.87
Bi1 0.0000 0.0000 0.5000 [1 per cell]  8 Sr 3.67, 4 Mo 4.06
Mo1 0.5000 0.5000 0.5000 [1 per cell]  2 S 2.29
S1 0.5000 0.5000 0.0000 [1 per cell]  2 Mo 2.29

Results
Theoretical density = 5.651 g/cm3
Total magnetization = 1.75 μB/f.u.
Formation energy without anion corrections = -193 kJ/mol of formula units

[4]
Material: Bi2TeMoS
Method: DFT, GGA-PBE
State: optimized geometry

Lattice parameters (Å, degrees): 5.6269 5.6269 4.4461 90.00 90.00 90.00
Closest atoms and distances in Å follow each position.
Space group P4/mmm (No. 123)
Symmetry-distinct sites (fractional):
Bi1 0.0000 0.5000 0.0000 [2 per cell]  2 S 2.81
Te1 0.0000 0.0000 0.5000 [1 per cell]  8 Bi 3.59, 4 Mo 3.98
Mo1 0.5000 0.5000 0.5000 [1 per cell]  2 S 2.22
S1 0.5000 0.5000 0.0000 [1 per cell]  2 Mo 2.22

Results
Theoretical density = 7.945 g/cm3
Total magnetization = 1.15 μB/f.u.
Formation energy without anion corrections = 289 kJ/mol of formula units

- Number 4 is which compound?
  Bi2TeMoS

- Among the records above, which one has the highest total magnetization?
  BiMoS3

- theoretical density of number 2 (BiMoS3)?
  4.805 g/cm3

- Which value of theoretical density does entry 4 give?
  7.945 g/cm3